The following is a DFT calculation (PBE) of a relaxed structure of Rb2SnHg16.

The calculated formation energy is -92.0 meV/atom. The calculated volume comes out at 1702 Å³ per cell. The uncorrected energy is -12.5 eV per formula unit.

The space group is R3m (No. 160, hexagonal axes) and the conventional cell measures 10.7166, 10.7166 and 17.1148 Å, with angles of 90.00, 90.00 and 120.00 degrees. The distinct sites, in fractional coordinates, are Rb at (0.0000, 0.0000, 0.0000), Rb at (0.0000, 0.0000, 0.3304), Sn at (0.0000, 0.0000, 0.5916), Hg at (0.0000, 0.0000, 0.7813), Hg at (0.0206, 0.5103, 0.5341), Hg at (0.0373, 0.3690, 0.3431), Hg at (0.0447, 0.5223, 0.1712) and Hg at (0.0519, 0.5259, 0.8182).


The following is a DFT calculation (PBE) of a relaxed structure of TbScCS.

The calculated volume comes out at 208 Å³ per cell. The uncorrected energy is -29.4 eV per formula unit.

The space group is R3m (No. 160, hexagonal axes) and the conventional cell measures 3.6046, 3.6046 and 18.4864 Å, with angles of 90.00, 90.00 and 120.00 degrees. The distinct sites, in fractional coordinates, are Tb at (0.0000, 0.0000, 0.0000), Sc at (0.0000, 0.0000, 0.4735), C at (0.0000, 0.0000, 0.7400) and S at (0.0000, 0.0000, 0.2298).


The following is a DFT calculation (PBE) of a relaxed structure of Ba2AlBr.

The calculated volume comes out at 501 Å³ per cell. The uncorrected energy is -12.4 eV per formula unit.

The space group is R-3m (No. 166, hexagonal axes) and the conventional cell measures 4.6296, 4.6296 and 27.0070 Å, with angles of 90.00, 90.00 and 120.00 degrees. The distinct sites, in fractional coordinates, are Ba at (0.0000, 0.0000, 0.2485), Al at (0.0000, 0.0000, 0.5000) and Br at (0.0000, 0.0000, 0.0000).


The following is a DFT calculation (PBE) of a relaxed structure of Sr2MgGa3Sn4.

The calculated formation energy is -318.1 meV/atom. The calculated volume comes out at 275 Å³ per cell. The uncorrected energy is -33.2 eV per formula unit.

The space group is P-4m2 (No. 115) and the conventional cell measures 5.017, 5.017 and 10.935 Å, with angles of 90.00, 90.00 and 90.00 degrees. The distinct sites, in fractional coordinates, are Sr at (0.000, 0.500, 0.246), Mg at (0.000, 0.000, 0.500), Ga at (0.000, 0.500, 0.880), Ga at (0.500, 0.500, 0.500), Sn at (0.000, 0.000, 0.000), Sn at (0.000, 0.500, 0.633) and Sn at (0.500, 0.500, 0.000).


The following is a DFT calculation (PBE) of a relaxed structure of MgTe3Pb.

The calculated volume comes out at 199 Å³ per cell. The uncorrected energy is -12.5 eV per formula unit.

The space group is Pm-3m (No. 221) and the conventional cell measures 5.840, 5.840 and 5.840 Å, with angles of 90.00, 90.00 and 90.00 degrees. The distinct sites, in fractional coordinates, are Mg at (0.000, 0.000, 0.000), Te at (0.000, 0.500, 0.500) and Pb at (0.500, 0.500, 0.500).


The following is a DFT calculation (PBE) of a relaxed structure of ZnInNi2.

The calculated formation energy is -60.2 meV/atom. The calculated volume comes out at 113 Å³ per cell. The uncorrected energy is -15.8 eV per formula unit.

The space group is Cm (No. 8) and the conventional cell measures 9.286, 3.068 and 4.241 Å, with angles of 90.00, 110.38 and 90.00 degrees. The distinct sites, in fractional coordinates, are Zn at (0.000, 0.000, 0.000), In at (0.270, 0.500, 0.337), Ni at (0.023, 0.500, 0.528) and Ni at (0.262, 0.000, 0.835).


The following is a DFT calculation (PBE) of a relaxed structure of Ga6CuPd12.

The calculated formation energy is -339.8 meV/atom. The calculated volume comes out at 1013 Å³ per cell. The uncorrected energy is -91.0 eV per formula unit.

The space group is R-3 (No. 148, hexagonal axes) and the conventional cell measures 10.8982, 10.8982 and 9.8509 Å, with angles of 90.00, 90.00 and 120.00 degrees. The distinct sites, in fractional coordinates, are Ga at (0.0463, 0.8353, 0.1823), Cu at (0.0000, 0.0000, 0.5000), Pd at (0.0466, 0.8003, 0.4314) and Pd at (0.0576, 0.8112, 0.9243).


The following is a DFT calculation (PBE) of a relaxed structure of NpTl2InF8.

The calculated volume comes out at 458 Å³ per cell. The uncorrected energy is -66.0 eV per formula unit.

The space group is I-4m2 (No. 119) and the conventional cell measures 6.212, 6.212 and 11.875 Å, with angles of 90.00, 90.00 and 90.00 degrees. The distinct sites, in fractional coordinates, are Np at (0.000, 0.000, 0.000), Tl at (0.000, 0.000, 0.500), Tl at (0.000, 0.500, 0.250), In at (0.000, 0.500, 0.750) and F at (0.204, 0.210, 0.891).


The following is a DFT calculation (PBE) of a relaxed structure of ReTc2P.

The calculated formation energy is -203.6 meV/atom. The calculated volume comes out at 111 Å³ per cell. The uncorrected energy is -39.4 eV per formula unit.

The space group is Imm2 (No. 44) and the conventional cell measures 2.899, 4.363 and 8.744 Å, with angles of 90.00, 90.00 and 90.00 degrees. The distinct sites, in fractional coordinates, are Re at (0.000, 0.000, 0.000), Tc at (0.000, 0.000, 0.436), Tc at (0.000, 0.500, 0.218) and P at (0.000, 0.500, 0.719).


The following is a DFT calculation (PBE) of a relaxed structure of Sr8TlCu2.

The calculated formation energy is -37.1 meV/atom. The calculated volume comes out at 888 Å³ per cell. The uncorrected energy is -24.4 eV per formula unit.

The space group is Cm (No. 8) and the conventional cell measures 10.002, 14.695 and 6.246 Å, with angles of 90.00, 104.68 and 90.00 degrees. The distinct sites, in fractional coordinates, are Sr at (0.000, 0.000, 0.000), Sr at (0.070, 0.369, 0.780), Sr at (0.177, 0.131, 0.607), Sr at (0.247, 0.500, 0.388), Sr at (0.373, 0.240, 0.194), Tl at (0.374, 0.000, 0.202) and Cu at (0.373, 0.313, 0.693).


The following is a DFT calculation (PBE) of a relaxed structure of RbSm3Ho2Te6.

The calculated volume comes out at 772 Å³ per cell. The uncorrected energy is -58.6 eV per formula unit.

The space group is C2/m (No. 12) and the conventional cell measures 19.593, 4.423 and 9.163 Å, with angles of 90.00, 103.63 and 90.00 degrees. The distinct sites, in fractional coordinates, are Rb at (0.000, 0.000, 0.000), Sm at (0.000, 0.000, 0.500), Sm at (0.157, 0.500, 0.814), Ho at (0.168, 0.500, 0.341), Te at (0.007, 0.500, 0.269), Te at (0.168, 0.000, 0.576) and Te at (0.177, 0.000, 0.093).


The following is a DFT calculation (PBE) of a relaxed structure of Pr3Sm4Hg4.

The calculated formation energy is -261.3 meV/atom. The calculated volume comes out at 684 Å³ per cell. The uncorrected energy is -37.3 eV per formula unit.

The space group is Immm (No. 71) and the conventional cell measures 4.873, 8.389 and 16.736 Å, with angles of 90.00, 90.00 and 90.00 degrees. The distinct sites, in fractional coordinates, are Pr at (0.000, 0.000, 0.000), Pr at (0.000, 0.500, 0.111), Sm at (0.000, 0.296, 0.330), Hg at (0.000, 0.000, 0.223) and Hg at (0.000, 0.185, 0.500).


The following is a DFT calculation (PBE) of a relaxed structure of ZrHg2Pb.

The calculated formation energy is -2.9 meV/atom. The calculated volume comes out at 189 Å³ per cell. The uncorrected energy is -12.9 eV per formula unit.

The space group is I4/mmm (No. 139) and the conventional cell measures 4.280, 4.280 and 10.313 Å, with angles of 90.00, 90.00 and 90.00 degrees. The distinct sites, in fractional coordinates, are Zr at (0.000, 0.000, 0.000), Hg at (0.000, 0.500, 0.250) and Pb at (0.000, 0.000, 0.500).


The following is a DFT calculation (PBE) of a relaxed structure of TiCu2Ge.

The calculated formation energy is -248.1 meV/atom. The calculated volume comes out at 56 Å³ per cell. The uncorrected energy is -21.7 eV per formula unit.

The space group is P4/mmm (No. 123) and the conventional cell measures 3.719, 3.719 and 4.041 Å, with angles of 90.00, 90.00 and 90.00 degrees. The distinct sites, in fractional coordinates, are Ti at (0.000, 0.000, 0.000), Cu at (0.000, 0.500, 0.500) and Ge at (0.500, 0.500, 0.000).


The following is a DFT calculation (PBE) of a relaxed structure of K4Rb2GaSb2.

The calculated volume comes out at 831 Å³ per cell. The uncorrected energy is -19.3 eV per formula unit.

The space group is C2/m (No. 12) and the conventional cell measures 16.272, 9.252 and 5.908 Å, with angles of 90.00, 110.95 and 90.00 degrees. The distinct sites, in fractional coordinates, are K at (0.134, 0.212, 0.136), Rb at (0.142, 0.500, 0.644), Ga at (0.000, 0.000, 0.500) and Sb at (0.187, 0.000, 0.688).


The following is a DFT calculation (PBE) of a relaxed structure of Rb2Np3HgO12.

The calculated volume comes out at 1026 Å³ per cell. The uncorrected energy is -141.4 eV per formula unit.

The space group is R-3m (No. 166, hexagonal axes) and the conventional cell measures 8.0261, 8.0261 and 18.3894 Å, with angles of 90.00, 90.00 and 120.00 degrees. The distinct sites, in fractional coordinates, are Rb at (0.0000, 0.0000, 0.1235), Np at (0.0000, 0.5000, 0.0000), Hg at (0.0000, 0.0000, 0.5000), O at (0.0356, 0.5178, 0.1026) and O at (0.0787, 0.5394, 0.3442).


The following is a DFT calculation (PBE) of a relaxed structure of RbBiSb2.

The calculated volume comes out at 708 Å³ per cell. The uncorrected energy is -12.9 eV per formula unit.

The space group is I-42d (No. 122) and the conventional cell measures 8.857, 8.857 and 9.022 Å, with angles of 90.00, 90.00 and 90.00 degrees. The distinct sites, in fractional coordinates, are Rb at (0.000, 0.000, 0.000), Bi at (0.000, 0.000, 0.500) and Sb at (0.176, 0.750, 0.625).


The following is a DFT calculation (PBE) of a relaxed structure of Ho4PuMg5.

The calculated formation energy is -4.8 meV/atom. The calculated volume comes out at 269 Å³ per cell. The uncorrected energy is -40.7 eV per formula unit.

The space group is P4/mmm (No. 123) and the conventional cell measures 3.770, 3.770 and 18.902 Å, with angles of 90.00, 90.00 and 90.00 degrees. The distinct sites, in fractional coordinates, are Ho at (0.000, 0.000, 0.100), Ho at (0.000, 0.000, 0.298), Pu at (0.000, 0.000, 0.500), Mg at (0.500, 0.500, 0.000), Mg at (0.500, 0.500, 0.199) and Mg at (0.500, 0.500, 0.397).


The following is a DFT calculation (PBE) of a relaxed structure of Ba3Na2Rh.

The calculated formation energy is -64.9 meV/atom. The calculated volume comes out at 1104 Å³ per cell. The uncorrected energy is -16.1 eV per formula unit.

The space group is Cmcm (No. 63) and the conventional cell measures 11.963, 10.220 and 9.029 Å, with angles of 90.00, 90.00 and 90.00 degrees. The distinct sites, in fractional coordinates, are Ba at (0.000, 0.203, 0.250), Ba at (0.173, 0.500, 0.000), Na at (0.127, 0.217, 0.750) and Rh at (0.000, 0.494, 0.750).


The following is a DFT calculation (PBE) of a relaxed structure of NaTbCd2Au4.

The calculated formation energy is -450.5 meV/atom. The calculated volume comes out at 502 Å³ per cell. The uncorrected energy is -24.5 eV per formula unit.

The space group is R-3m (No. 166, hexagonal axes) and the conventional cell measures 4.8799, 4.8799 and 24.3388 Å, with angles of 90.00, 90.00 and 120.00 degrees. The distinct sites, in fractional coordinates, are Na at (0.0000, 0.0000, 0.0000), Tb at (0.0000, 0.0000, 0.5000), Cd at (0.0000, 0.0000, 0.2533), Au at (0.0000, 0.0000, 0.1222) and Au at (0.0000, 0.0000, 0.3768).